[1]
TaOsPt | Alexandria | PBE-GGA | optimized geometry; energy of formation from the pure elements = 0.052 eV/atom; theoretical density = 16.8 Mg/m³; SG = F-43m (216)
1.0
4.296 0.000 0.000
2.148 3.720 0.000
2.148 1.240 3.507
Ta Os Pt
1 1 1
Cartesian
6.444 3.720 2.631
0.000 0.000 0.000
4.296 2.480 1.754



[2]
TaOsPt2 | Alexandria | PBE-GGA | optimized geometry; energy of formation from the pure elements = -0.228 eV/atom; theoretical density = 20.1 Mg/m³; SG = C2/m (12)
1.0
-0.958 3.205 -3.564
-3.391 1.809 -3.021
-1.556 3.724 2.602
Os Pt Ta
1 2 1
Cartesian
-1.476 2.185 -0.996
-2.958 4.366 -2.025
-4.344 5.018 -6.552
-4.429 6.554 -2.987



[3]
TaOsPt | Alexandria | PBE-GGA | optimized geometry; energy of formation from the pure elements = -0.396 eV/atom; theoretical density = 19.6 Mg/m³; SG = P6_3/mmc (194)
1.0
4.483 0.000 0.000
-2.241 3.882 0.000
0.000 0.000 5.504
Pt Ta Os
2 2 2
Cartesian
1.121 0.647 4.128
1.121 3.234 1.376
1.121 3.235 4.128
1.121 0.646 1.376
-1.121 1.941 2.752
-1.121 1.941 0.000



[4]
TaOsPt2 | Alexandria | PBE-GGA | optimized geometry; energy of formation from the pure elements = -0.112 eV/atom; theoretical density = 20.0 Mg/m³; SG = R3m (160)
1.0
-6.669 -6.482 1.792
-4.592 -7.599 3.300
-6.221 -5.614 4.415
Pt Os Ta
2 1 1
Cartesian
-0.028 -0.032 0.015
-4.345 -4.894 2.363
-13.105 -14.764 7.127
-8.746 -9.853 4.756



[5]
Ta3OsPt | Alexandria | PBE-GGA | optimized geometry; energy of formation from the pure elements = 1.113 eV/atom; theoretical density = 14.1 Mg/m³; SG = Pm-3m (221)
1.0
-4.700 -0.809 -0.375
0.321 -3.410 3.340
-0.832 3.256 3.404
Ta Os Pt
3 1 1
Cartesian
0.160 -1.705 1.670
-0.416 1.628 1.702
-2.350 -0.405 -0.187
0.000 0.000 0.000
-2.605 -0.481 3.185



[6]
TaOsPt2 | Alexandria | PBE-GGA | optimized geometry; energy of formation from the pure elements = -0.153 eV/atom; theoretical density = 20.1 Mg/m³; SG = P4/mmm (123)
1.0
2.777 0.000 0.000
0.000 2.777 0.000
0.000 0.000 8.140
Ta Pt Os
1 2 1
Cartesian
1.389 1.389 2.035
0.000 0.000 8.112
0.000 0.000 4.098
1.389 1.389 6.105